No. 1
Compound: BeOsRu2
Source: the Alexandria database
Functional: PBE-GGA
Structure: optimized geometry

a b c (Å): 2.7324 3.7762 5.0775
angles (deg): 90.00 90.00 90.00
Last column: nearest neighbours and their distance in Å.
Sites, in units of the cell vectors:
Be 0.0000 0.0000 0.0000  6 Ru 2.52-2.59, 4 Os 2.65, 2 Be 2.73
Os 0.5000 0.5000 0.2502  6 Ru 2.40-2.68, 4 Be 2.65
Ru 0.0000 0.0000 0.4962  2 Be 2.52-2.56, 4 Os 2.64, 6 Ru 2.73-2.74
Ru 0.5000 0.5000 0.7782  2 Os 2.40-2.68, 4 Be 2.59

The formation energy comes out at 0.0916 eV/atom.

No. 2
Compound: Li3InN
Source: the Alexandria database
Functional: PBE-GGA
Structure: optimized geometry

a b c (Å): 4.1022 4.1022 4.1022
angles (deg): 90.00 90.00 90.00
Last column: nearest neighbours and their distance in Å.
Sites, in units of the cell vectors:
Li 0.0000 0.0000 0.5000  2 N 2.05
Li 0.0000 0.5000 0.0000  2 N 2.05
Li 0.5000 0.0000 0.0000  2 N 2.05
In 0.5000 0.5000 0.5000  12 Li 2.90
N 0.0000 0.0000 0.0000  6 Li 2.05

The uncorrected formation energy comes out at -0.14 eV per atom. The value obtained for the distance to the lowest polymorph of the same formula is 0.000 eV/atom.

No. 3
Compound: NaTiSn2
Source: the Alexandria database
Functional: PBE-GGA
Structure: optimized geometry

a b c (Å): 5.2907 5.2907 3.1567
angles (deg): 90.00 90.00 90.00
Last column: nearest neighbours and their distance in Å.
Sites, in units of the cell vectors:
Na 0.0000 0.0000 0.0000  8 Sn 3.08, 2 Na 3.16
Ti 0.5000 0.5000 0.0000  8 Sn 3.08, 2 Ti 3.16
Sn 0.0000 0.5000 0.5000  4 Na 3.08, 4 Ti 3.08, 2 Sn 3.16
Sn 0.5000 0.0000 0.5000  4 Na 3.08, 4 Ti 3.08, 2 Sn 3.16

The formation energy comes out at -0.0452 eV/atom.

No. 4
Compound: PaNbZnMo
Source: the Alexandria database
Functional: PBE-GGA
Structure: optimized geometry

a b c (Å): 4.6648 4.6648 4.6648
angles (deg): 60.00 60.00 60.00
Last column: nearest neighbours and their distance in Å.
Sites, in units of the cell vectors:
Pa 0.0000 0.0000 0.0000  4 Nb 2.86, 4 Mo 2.86
Nb 0.2500 0.2500 0.2500  4 Zn 2.86, 4 Pa 2.86
Zn 0.5000 0.5000 0.5000  4 Mo 2.86, 4 Nb 2.86
Mo 0.7500 0.7500 0.7500  4 Zn 2.86, 4 Pa 2.86

The formation energy comes out at 0.1199 eV/atom.

No. 5
Compound: Sc2AgTe5
Source: the Alexandria database
Functional: PBE-GGA
Structure: optimized geometry

a b c (Å): 7.9996 7.9996 12.1903
angles (deg): 90.00 90.00 137.55
Last column: nearest neighbours and their distance in Å.
Sites, in units of the cell vectors:
Sc 0.1641 0.8359 0.5433  6 Te 2.86-2.98
Sc 0.1641 0.8359 0.9567  6 Te 2.86-2.98
Sc 0.8359 0.1641 0.0433  6 Te 2.86-2.98
Sc 0.8359 0.1641 0.4567  6 Te 2.86-2.98
Ag 0.2171 0.7829 0.2500  4 Te 2.86-2.92
Ag 0.7829 0.2171 0.7500  4 Te 2.86-2.92
Te 0.0244 0.9756 0.1236  2 Sc 2.91-2.98, 2 Te 3.08-3.10, 1 Ag 3.26
Te 0.0244 0.9756 0.3764  2 Sc 2.91-2.98, 2 Te 3.08-3.10, 1 Ag 3.26
Te 0.2582 0.7418 0.7500  2 Sc 2.88, 2 Ag 2.92
Te 0.3344 0.6656 0.0645  1 Ag 2.86, 3 Sc 2.86-2.91
Te 0.3344 0.6656 0.4355  1 Ag 2.86, 3 Sc 2.86-2.91
Te 0.6656 0.3344 0.5645  1 Ag 2.86, 3 Sc 2.86-2.91
Te 0.6656 0.3344 0.9355  1 Ag 2.86, 3 Sc 2.86-2.91
Te 0.7418 0.2582 0.2500  2 Sc 2.88, 2 Ag 2.92
Te 0.9756 0.0244 0.6236  2 Sc 2.91-2.98, 2 Te 3.08-3.10, 1 Ag 3.26
Te 0.9756 0.0244 0.8764  2 Sc 2.91-2.98, 2 Te 3.08-3.10, 1 Ag 3.26

The uncorrected formation energy comes out at -0.64 eV per atom.

No. 6
Compound: LiPbN2
Source: the Alexandria database
Functional: PBE-GGA
Structure: optimized geometry

a b c (Å): 5.9297 5.9297 5.9297
angles (deg): 33.97 33.97 33.97
Last column: nearest neighbours and their distance in Å.
Sites, in units of the cell vectors:
Li 0.0000 0.0000 0.0000  6 N 2.01
Pb 0.5000 0.5000 0.5000  2 N 2.61
N 0.3442 0.3442 0.3442  3 Li 2.01, 3 N 2.03
N 0.6558 0.6558 0.6558  3 Li 2.01, 3 N 2.03

The uncorrected formation energy comes out at 1.13 eV per atom.

Number 1: density of states at the Fermi level 3.895 states/eV/f.u., density 12.72 g/cm³, volume 13.10 A^3/atom. Number 2: density of states at the Fermi level 2.647 states/eV/f.u., density 3.60 g/cm³, volume 13.81 A^3/atom. Number 3: density of states at the Fermi level 3.376 states/eV/f.u., density 5.79 g/cm³, volume 22.09 A^3/atom. Number 4: density of states at the Fermi level 3.554 states/eV/f.u., density 11.23 g/cm³, volume 17.94 A^3/atom. Number 5: density of states at the Fermi level 2.337 states/eV/f.u., density 5.27 g/cm³, volume 32.91 A^3/atom. Number 6: density of states at the Fermi level 0.856 states/eV/f.u., density 6.93 g/cm³, volume 14.50 A^3/atom.